Entry 1:
A geometry-optimized TlBi2S2 structure. Source: the Alexandria database, functional GGA-PBE.

Lattice parameters (Å, degrees): 8.742 8.742 3.822 90.00 90.00 90.00
Space group P4/mbm (No. 127)
Asymmetric unit:
Tl: 0.000 0.000 0.000 [2 per cell]
Bi: 0.207 0.293 0.500 [4 per cell]
S: 0.144 0.644 0.000 [4 per cell]

## Properties
Crystal system = tetragonal
Total magnetic moment = 0.0 μB per formula unit
Raw formation energy = -0.03 eV per atom

Entry 2:
A geometry-optimized TlBiS3 structure. Source: the Alexandria database, functional GGA-PBE.

Lattice parameters (Å, degrees): 4.448 7.700 16.241 90.00 90.00 90.00
Space group Cmcm (No. 63)
Asymmetric unit:
Tl: 0.000 0.167 0.250 [4 per cell]
Bi: 0.000 0.500 0.000 [4 per cell]
S: 0.000 0.167 0.082 [8 per cell]
S: 0.000 0.499 0.750 [4 per cell]

## Properties
Crystal system = orthorhombic
Total magnetic moment = 0.0 μB per formula unit
Raw formation energy = -0.11 eV per atom

Entry 3:
A geometry-optimized Tl2BiS2 structure. Source: the Alexandria database, functional GGA-PBE.

Lattice parameters (Å, degrees): 7.804 7.804 4.662 90.00 90.00 90.00
Space group P4/mbm (No. 127)
Asymmetric unit:
Tl: 0.145 0.355 0.000 [4 per cell]
Bi: 0.000 0.000 0.500 [2 per cell]
S: 0.180 0.680 0.500 [4 per cell]

## Properties
Crystal system = tetragonal
Total magnetic moment = 0.0 μB per formula unit
Raw formation energy = -0.16 eV per atom

Entry 4:
A geometry-optimized Tl3Bi5S12 structure. Source: the Alexandria database, functional GGA-PBE.

Lattice parameters (Å, degrees): 16.913 16.913 16.913 90.00 90.00 90.00
Space group Ia-3d (No. 230)
Asymmetric unit:
Tl: 0.000 0.250 0.125 [24 per cell]
Bi: 0.000 0.000 0.000 [16 per cell]
Bi: 0.000 0.250 0.375 [24 per cell]
S: 0.032 0.062 0.650 [96 per cell]

## Properties
Crystal system = cubic
Total magnetic moment = 0.0 μB per formula unit
Raw formation energy = -0.03 eV per atom

Entry 5:
A geometry-optimized Tl3BiS3 structure. Source: the Alexandria database, functional GGA-PBE.

Lattice parameters (Å, degrees): 8.713 4.155 12.033 90.00 95.15 90.00
Space group P2_1/m (No. 11)
Asymmetric unit:
Tl: 0.110 0.250 0.362 [2 per cell]
Tl: 0.165 0.250 0.854 [2 per cell]
Tl: 0.353 0.750 0.118 [2 per cell]
Bi: 0.389 0.750 0.617 [2 per cell]
S: 0.165 0.250 0.607 [2 per cell]
S: 0.385 0.750 0.380 [2 per cell]
S: 0.405 0.750 0.853 [2 per cell]

## Properties
Crystal system = monoclinic
Total magnetic moment = 0.0 μB per formula unit
Raw formation energy = -0.39 eV per atom

Entry 6:
A geometry-optimized Tl2BiS structure. Source: the Alexandria database, functional GGA-PBE.

Lattice parameters (Å, degrees): 6.692 6.692 13.666 90.00 90.00 90.00
Space group I-42d (No. 122)
Asymmetric unit:
Tl: 0.220 0.250 0.125 [8 per cell]
Bi: 0.000 0.000 0.500 [4 per cell]
S: 0.000 0.000 0.000 [4 per cell]

## Properties
Crystal system = tetragonal
Total magnetic moment = 0.0 μB per formula unit
Raw formation energy = 0.05 eV per atom

Entry 7:
A geometry-optimized Tl3BiS structure. Source: the Alexandria database, functional GGA-PBE.

Lattice parameters (Å, degrees): 5.557 5.557 5.557 90.00 90.00 90.00
Space group Pm-3m (No. 221)
Asymmetric unit:
Tl: 0.000 0.000 0.500 [3 per cell]
Bi: 0.500 0.500 0.500 [1 per cell]
S: 0.000 0.000 0.000 [1 per cell]

## Properties
Crystal system = cubic
Total magnetic moment = 0.0 μB per formula unit
Raw formation energy = 0.19 eV per atom

Entry 8:
A geometry-optimized Tl4Bi2S5 structure. Source: the Alexandria database, functional GGA-PBE.

Lattice parameters (Å, degrees): 17.305 4.145 17.742 90.00 90.00 90.00
Space group Pnma (No. 62)
Asymmetric unit:
Tl: 0.070 0.250 0.084 [4 per cell]
Tl: 0.183 0.750 0.928 [4 per cell]
Tl: 0.185 0.750 0.238 [4 per cell]
Tl: 0.190 0.750 0.580 [4 per cell]
Bi: 0.058 0.250 0.412 [4 per cell]
Bi: 0.069 0.250 0.756 [4 per cell]
S: 0.045 0.250 0.259 [4 per cell]
S: 0.050 0.250 0.906 [4 per cell]
S: 0.065 0.250 0.581 [4 per cell]
S: 0.164 0.750 0.404 [4 per cell]
S: 0.180 0.750 0.763 [4 per cell]

## Properties
Crystal system = orthorhombic
Total magnetic moment = 0.0 μB per formula unit
Raw formation energy = -0.40 eV per atom

Entry 9:
A geometry-optimized Tl3Bi4S8 structure. Source: the Alexandria database, functional GGA-PBE.

Lattice parameters (Å, degrees): 11.730 11.691 8.250 90.00 134.03 90.00
Space group C2/m (No. 12)
Asymmetric unit:
Tl: 0.000 0.000 0.000 [2 per cell]
Tl: 0.250 0.250 0.000 [4 per cell]
Bi: 0.000 0.500 0.000 [2 per cell]
Bi: 0.000 0.500 0.500 [2 per cell]
Bi: 0.250 0.250 0.500 [4 per cell]
S: 0.000 0.256 0.500 [4 per cell]
S: 0.000 0.258 0.000 [4 per cell]
S: 0.230 0.500 0.979 [4 per cell]
S: 0.235 0.500 0.480 [4 per cell]

## Properties
Crystal system = monoclinic
Total magnetic moment = 0.0 μB per formula unit
Raw formation energy = -0.28 eV per atom

Number 1: final energy -3.705 eV per atom. Number 2: final energy -3.841 eV per atom. Number 3: final energy -3.537 eV per atom. Number 4: final energy -3.835 eV per atom. Number 5: final energy -3.731 eV per atom. Number 6: final energy -3.137 eV per atom. Number 7: final energy -2.835 eV per atom. Number 8: final energy -3.843 eV per atom. Number 9: final energy -3.988 eV per atom.